The following is a DFT calculation (PBE+U) of a relaxed structure of AcCdWO6.

Results
Final energy ... -6.672 eV/atom
Calculated density ... 7.30 Mg/m³
D(E_F) ... 0.60 states/eV per atom
Symmetry ... No. 102

Structure (CIF):
```
data_AcCdWO6
_chemical_formula_sum 'Ac2 Cd2 W2 O12'
_symmetry_space_group_name_H-M 'P 1'
_symmetry_Int_Tables_number 1
_cell_length_a 5.178
_cell_length_b 5.178
_cell_length_c 10.504
_cell_angle_alpha 90.00
_cell_angle_beta 90.00
_cell_angle_gamma 90.00
loop_
_symmetry_equiv_pos_as_xyz
'x,y,z'
loop_
_atom_site_label
_atom_site_fract_x
_atom_site_fract_y
_atom_site_fract_z
_atom_site_occupancy
O1 0.168 0.832 0.188 1
O2 0.733 0.733 0.342 1
Cd1 0.000 0.000 0.999 1
O3 0.188 0.812 0.465 1
W1 0.500 0.500 0.840 1
O4 0.233 0.767 0.842 1
Ac1 0.000 0.000 0.672 1
O5 0.668 0.668 0.688 1
O6 0.332 0.332 0.688 1
O7 0.312 0.312 0.965 1
O8 0.267 0.267 0.342 1
O9 0.688 0.688 0.965 1
O10 0.767 0.233 0.842 1
O11 0.832 0.168 0.188 1
W2 0.000 0.000 0.340 1
O12 0.812 0.188 0.465 1
Ac2 0.500 0.500 0.172 1
Cd2 0.500 0.500 0.499 1
```